## i
Compound: K2InHg2
Source: the Alexandria database
Functional: GGA-PBE
Structure: optimized geometry Values from VASP.

Geometry as Quantum ESPRESSO input:
```
&SYSTEM
  ibrav = 0, nat = 10, ntyp = 3
/
ATOMIC_SPECIES
K 39.10 K.upf
In 114.82 In.upf
Hg 200.59 Hg.upf
CELL_PARAMETERS angstrom
5.2166 0.0000 0.0000
0.0000 5.2166 0.0000
0.0000 0.0000 14.2947
ATOMIC_POSITIONS crystal
K 0.0000 0.5000 0.2500
K 0.0000 0.5000 0.7500
K 0.5000 0.0000 0.2500
K 0.5000 0.0000 0.7500
In 0.0000 0.0000 0.0000
In 0.5000 0.5000 0.5000
Hg 0.0000 0.0000 0.4006
Hg 0.0000 0.0000 0.5994
Hg 0.5000 0.5000 0.0994
Hg 0.5000 0.5000 0.9006
```

Calculated values
**M_tot**: 0.000 Bohr magnetons per cell

***

## ii
Compound: K2InHg2
Source: the Alexandria database
Functional: GGA-PBE
Structure: optimized geometry Values from VASP.

Geometry as Quantum ESPRESSO input:
```
&SYSTEM
  ibrav = 0, nat = 10, ntyp = 3
/
ATOMIC_SPECIES
K 39.10 K.upf
In 114.82 In.upf
Hg 200.59 Hg.upf
CELL_PARAMETERS angstrom
6.0323 -3.4276 0.0000
6.0323 3.4276 0.0000
-1.9714 0.0000 8.5917
ATOMIC_POSITIONS crystal
K 0.0192 0.2781 0.1441
K 0.2781 0.0192 0.6441
K 0.7219 0.9808 0.3559
K 0.9808 0.7219 0.8559
In 0.3810 0.6190 0.2500
In 0.6190 0.3810 0.7500
Hg 0.2212 0.5069 0.5001
Hg 0.4931 0.7788 0.9999
Hg 0.5069 0.2212 0.0001
Hg 0.7788 0.4931 0.4999
```

Calculated values
**M_tot**: 0.000 Bohr magnetons per cell

***

Stability, highest: ii

***

## i
Compound: KIn2Hg9
Source: the Alexandria database
Functional: GGA-PBE
Structure: optimized geometry Values from VASP.

Geometry as Quantum ESPRESSO input:
```
&SYSTEM
  ibrav = 0, nat = 12, ntyp = 3
/
ATOMIC_SPECIES
K 39.10 K.upf
In 114.82 In.upf
Hg 200.59 Hg.upf
CELL_PARAMETERS angstrom
4.9724 0.0000 0.0000
0.0000 4.9724 0.0000
0.0000 0.0000 13.7063
ATOMIC_POSITIONS crystal
K 0.0000 0.0000 0.0000
In 0.0000 0.0000 0.3461
In 0.0000 0.0000 0.6539
Hg 0.0000 0.5000 0.1839
Hg 0.0000 0.5000 0.5000
Hg 0.0000 0.5000 0.8161
Hg 0.5000 0.0000 0.1839
Hg 0.5000 0.0000 0.5000
Hg 0.5000 0.0000 0.8161
Hg 0.5000 0.5000 0.0000
Hg 0.5000 0.5000 0.3448
Hg 0.5000 0.5000 0.6552
```

Calculated values
**M_tot**: 0.000 Bohr magnetons per cell

***

## ii
Compound: KIn2Hg9
Source: the Alexandria database
Functional: GGA-PBE
Structure: optimized geometry Values from VASP.

Geometry as Quantum ESPRESSO input:
```
&SYSTEM
  ibrav = 0, nat = 12, ntyp = 3
/
ATOMIC_SPECIES
K 39.10 K.upf
In 114.82 In.upf
Hg 200.59 Hg.upf
CELL_PARAMETERS angstrom
10.5910 0.0000 0.0000
-5.2955 9.1721 0.0000
0.0000 0.0000 3.4441
ATOMIC_POSITIONS crystal
K 0.0000 0.0000 0.0000
In 0.3333 0.6667 0.0000
In 0.6667 0.3333 0.0000
Hg 0.0000 0.5000 0.0000
Hg 0.1742 0.3485 0.5000
Hg 0.1742 0.8258 0.5000
Hg 0.3485 0.1742 0.5000
Hg 0.5000 0.0000 0.0000
Hg 0.5000 0.5000 0.0000
Hg 0.6515 0.8258 0.5000
Hg 0.8258 0.1742 0.5000
Hg 0.8258 0.6515 0.5000
```

Calculated values
**M_tot**: 0.000 Bohr magnetons per cell

***

Stability, highest: i